No. 1
Here is a crystal of SrZr4Tc relaxed with PBEsol from Alexandria. Energies are from SCAN.

Values from the calculation:
ΔE_f, meV/atom: 801

Cell: 8.113 8.113 8.113 Å, 90.00 90.00 90.00°
Space group F-43m (No. 216)
Unique sites:
Sr 0.000 0.000 0.000 [4 per cell]
Zr 0.123 0.123 0.377 [16 per cell]
Tc 0.250 0.250 0.750 [4 per cell]

No. 2
Here is a crystal of SrTe3 relaxed with PBEsol from Alexandria. Energies are from SCAN.

Values from the calculation:
Energy relative to the elements, uncorrected, eV per atom: -0.88

Cell: 7.874 8.095 8.884 Å, 90.00 90.00 90.00°
Space group Pnma (No. 62)
Unique sites:
Sr 0.070 0.250 0.117 [4 per cell]
Te 0.072 0.250 0.740 [4 per cell]
Te 0.231 0.001 0.382 [8 per cell]

No. 3
Here is a crystal of Sr2Te3 relaxed with PBEsol from Alexandria. Energies are from SCAN.

Values from the calculation:
Energy relative to the elements, uncorrected, eV per atom: -1.14

Cell: 4.6412 4.6412 29.9130 Å, 90.00 90.00 120.00°
Space group R-3m (No. 166, hexagonal axes)
Unique sites:
Sr 0.0000 0.0000 0.1021 [6 per cell]
Te 0.0000 0.0000 0.2966 [6 per cell]
Te 0.0000 0.0000 0.5000 [3 per cell]

No. 4
Here is a crystal of Sr2Te relaxed with PBEsol from Alexandria. Energies are from SCAN.

Values from the calculation:
Energy relative to the elements, uncorrected, eV per atom: -1.06

Cell: 4.045 4.045 29.739 Å, 90.00 90.00 90.00°
Space group I4_1/amd (No. 141, origin choice 2)
Unique sites:
Sr 0.000 0.250 0.311 [8 per cell]
Te 0.000 0.250 0.875 [4 per cell]

No. 5
Here is a crystal of SrTe relaxed with PBEsol from Alexandria. Energies are from SCAN.

Values from the calculation:
Energy relative to the elements, uncorrected, eV per atom: -1.95

Cell: 6.612 6.612 6.612 Å, 90.00 90.00 90.00°
Space group Fm-3m (No. 225)
Unique sites:
Sr 0.000 0.000 0.000 [4 per cell]
Te 0.000 0.000 0.500 [4 per cell]

No. 6
Here is a crystal of Sr3Te5 relaxed with PBEsol from Alexandria. Energies are from SCAN.

Values from the calculation:
Energy relative to the elements, uncorrected, eV per atom: -1.23

Cell: 8.128 10.402 5.952 Å, 90.00 90.00 90.00°
Space group Cmmm (No. 65)
Unique sites:
Sr 0.000 0.000 0.000 [2 per cell]
Sr 0.000 0.288 0.500 [4 per cell]
Te 0.000 0.500 0.000 [2 per cell]
Te 0.197 0.000 0.500 [4 per cell]
Te 0.250 0.250 0.000 [4 per cell]

No. 7
Here is a crystal of SrTe3 relaxed with PBEsol from Alexandria. Energies are from SCAN.

Values from the calculation:
Energy relative to the elements, uncorrected, eV per atom: -0.90

Cell: 4.558 6.538 4.561 Å, 90.00 90.00 90.00°
Space group Pmm2 (No. 25)
Unique sites:
Sr 0.000 0.000 0.000 [1 per cell]
Te 0.000 0.500 0.002 [1 per cell]
Te 0.500 0.000 0.500 [1 per cell]
Te 0.500 0.500 0.502 [1 per cell]

No. 8
Here is a crystal of SrTe3W relaxed with PBEsol from Alexandria. Energies are from SCAN.

Values from the calculation:
Energy relative to the elements, uncorrected, eV per atom: -0.08

Cell: 5.354 5.354 5.354 Å, 90.00 90.00 90.00°
Space group Pm-3m (No. 221)
Unique sites:
Sr 0.000 0.000 0.000 [1 per cell]
Te 0.000 0.500 0.500 [3 per cell]
W 0.500 0.500 0.500 [1 per cell]

No. 9
Here is a crystal of Sr2TeW relaxed with PBEsol from Alexandria. Energies are from SCAN.

Values from the calculation:
Energy relative to the elements, uncorrected, eV per atom: 0.74

Cell: 7.425 7.425 7.425 Å, 90.00 90.00 90.00°
Space group F-43m (No. 216)
Unique sites:
Sr 0.000 0.000 0.000 [4 per cell]
Sr 0.250 0.250 0.250 [4 per cell]
Te 0.000 0.000 0.500 [4 per cell]
W 0.250 0.250 0.750 [4 per cell]

No. 10
Here is a crystal of SrTe2W relaxed with PBEsol from Alexandria. Energies are from SCAN.

Values from the calculation:
Energy relative to the elements, uncorrected, eV per atom: 0.48
Offset from the most stable computed form, kJ/mol of formula units: 154

Cell: 4.8086 4.8086 26.1358 Å, 90.00 90.00 120.00°
Space group R-3m (No. 166, hexagonal axes)
Unique sites:
Sr 0.0000 0.0000 0.0000 [3 per cell]
Te 0.0000 0.0000 0.4001 [6 per cell]
W 0.0000 0.0000 0.5000 [3 per cell]

No. 11
Here is a crystal of Sr2TeW relaxed with PBEsol from Alexandria. Energies are from SCAN.

Values from the calculation:
Energy relative to the elements, uncorrected, eV per atom: 0.33

Cell: 12.001 3.502 5.667 Å, 90.00 108.51 90.00°
Space group Cm (No. 8)
Unique sites:
Sr 0.000 0.000 0.000 [2 per cell]
Sr 0.194 0.000 0.638 [2 per cell]
Te 0.428 0.000 0.447 [2 per cell]
W 0.263 0.500 0.187 [2 per cell]

No. 12
Here is a crystal of Sr2TeW relaxed with PBEsol from Alexandria. Energies are from SCAN.

Values from the calculation:
Energy relative to the elements, uncorrected, eV per atom: 0.52

Cell: 7.699 4.369 8.508 Å, 90.00 106.87 90.00°
Space group C2/m (No. 12)
Unique sites:
Sr 0.247 0.000 0.244 [4 per cell]
Te 0.000 0.500 0.000 [2 per cell]
W 0.000 0.000 0.500 [2 per cell]

| no. | final energy (eV/cell) |
| --- | --- |
| 1 | -701.302 |
| 2 | -550.142 |
| 3 | -486.082 |
| 4 | -339.972 |
| 5 | -253.741 |
| 6 | -525.770 |
| 7 | -137.634 |
| 8 | -204.141 |
| 9 | -594.152 |
| 10 | -493.670 |
| 11 | -300.374 |
| 12 | -298.836 |